## Tb3CeN4 (GGA-PBE)

Data for crystalline Tb3CeN4 at its relaxed geometry.

Values from the calculation:
- DOS(E_F) (states/eV/atom) = 0.4019
- energy above the lowest structure with this stoichiometry (meV/atom) = 4
- formation energy from raw total energies (meV per atom) = -1626
- E_tot (eV per atom) = -8.2670

Cell and atoms, written as extended XYZ:
```
8
Lattice="-0.052 -3.477 0.527 6.008 0.045 0.893 -2.827 0.847 5.309" Properties=species:S:1:pos:R:3 pbc="T T T"
N 0.790 0.222 1.541
N 3.795 -1.495 2.249
N -0.667 -1.090 4.479
N 2.390 0.670 4.661
Tb 3.004 0.023 0.446
Tb 1.564 -1.292 3.364
Tb -1.414 0.423 2.654
Ce -0.026 -1.738 0.263
```